SrTcN3: relaxed, PBE.

## Properties
The size of the total moment comes out at 0.000 μB/atom. The total energy is -7.70 eV per atom. Its space group is No. 1.

```
data_SrTcN3
_chemical_formula_sum 'Sr2 Tc2 N6'
_cell_length_a 3.946
_cell_length_b 7.283
_cell_length_c 5.537
_cell_angle_alpha 106.03
_cell_angle_beta 81.45
_cell_angle_gamma 94.76
_space_group_name_H-M_alt 'P 1'
_space_group_IT_number 1
loop_
_space_group_symop_operation_xyz
'x,y,z'
loop_
_atom_site_label
_atom_site_type_symbol
_atom_site_fract_x
_atom_site_fract_y
_atom_site_fract_z
_atom_site_occupancy
Sr1 Sr 0.382 0.607 0.511 1
Sr2 Sr 0.433 0.139 0.984 1
Tc1 Tc 0.992 0.977 0.452 1
Tc2 Tc 0.786 0.746 0.017 1
N1 N 0.138 0.585 0.969 1
N2 N 0.499 0.902 0.312 1
N3 N 0.418 0.520 0.980 1
N4 N 0.951 0.209 0.393 1
N5 N 0.860 0.349 0.341 1
N6 N 0.888 0.870 0.747 1
```

***

YbDyZn2: relaxed, PBE.

## Properties
For the formation energy, the calculation gives -0.336 eV per atom. The size of the total moment comes out at 0.000 μB/atom. Its space group is No. 225.

```
data_YbDyZn2
_chemical_formula_sum 'Yb1 Dy1 Zn2'
_cell_length_a 5.054
_cell_length_b 5.054
_cell_length_c 5.054
_cell_angle_alpha 60.00
_cell_angle_beta 60.00
_cell_angle_gamma 60.00
_space_group_name_H-M_alt 'P 1'
_space_group_IT_number 1
loop_
_space_group_symop_operation_xyz
'x,y,z'
loop_
_atom_site_label
_atom_site_type_symbol
_atom_site_fract_x
_atom_site_fract_y
_atom_site_fract_z
_atom_site_occupancy
Zn1 Zn 0.000 0.000 0.000 1
Zn2 Zn 0.500 0.500 0.500 1
Yb1 Yb 0.750 0.750 0.750 1
Dy1 Dy 0.250 0.250 0.250 1
```